This record from Alexandria via LeMat-Bulk describes a relaxed structure of SrY2ScPt. The functional is PBE. Values from VASP.

E = -5.776 eV/atom
DOS at the Fermi energy = 7.292 states/eV per cell
DFT formation energy = -1.90 eV per formula unit

The structure in Quantum ESPRESSO input format:
```
&SYSTEM
  ibrav = 0, nat = 5, ntyp = 4
/
ATOMIC_SPECIES
Sr 87.62 Sr.upf
Y 88.91 Y.upf
Sc 44.96 Sc.upf
Pt 195.08 Pt.upf
ATOMIC_POSITIONS crystal
Sr 0.0000 0.0000 0.0000
Y 0.0000 0.5000 0.5000
Y 0.5000 0.0000 0.5000
Sc 0.5000 0.5000 0.0000
Pt 0.5000 0.5000 0.5000
CELL_PARAMETERS angstrom
5.5647 0.0000 0.0000
0.0000 5.5647 0.0000
0.0000 0.0000 5.2803
```